1.
DFT (PBE) results for KGaTc2Pt after structural relaxation.

Symmetry ... No. 123
DOS(E_F) ... 0.768 states/eV/atom
Volume ... 22.7 Å³/atom
Calculated density ... 7.31 g/cm³
DFT formation energy ... 1.18 eV/atom

Unit cell a=4.8692 b=4.7890 c=4.8692 alpha=90.00 beta=90.00 gamma=90.00
Last column: nearest neighbours and their distance in Å.
Fractional positions:
K 0.5000 0.5000 0.5000  8 Tc 3.41, 4 Pt 3.44
Ga 0.0000 0.0000 0.0000  2 Pt 2.39, 4 Tc 2.43
Tc 0.0000 0.0000 0.5000  2 Ga 2.43
Tc 0.5000 0.0000 0.0000  2 Ga 2.43
Pt 0.0000 0.5000 0.0000  2 Ga 2.39

***

2.
DFT (PBE) results for KTlGa2Pt after structural relaxation.

Symmetry ... No. 123
DOS(E_F) ... 0.745 states/eV/atom
Volume ... 27.7 Å³/atom
Calculated density ... 6.92 g/cm³
DFT formation energy ... -0.16 eV/atom

Unit cell a=4.9336 b=4.9336 c=5.6983 alpha=90.00 beta=90.00 gamma=90.00
Last column: nearest neighbours and their distance in Å.
Fractional positions:
K 0.5000 0.5000 0.5000  4 Tl 3.49, 8 Ga 3.77
Tl 0.0000 0.0000 0.5000  2 Pt 2.85
Ga 0.0000 0.5000 0.0000  2 Pt 2.47
Ga 0.5000 0.0000 0.0000  2 Pt 2.47
Pt 0.0000 0.0000 0.0000  4 Ga 2.47

***

3.
DFT (PBE) results for K3Pu3GaSe8 after structural relaxation.

Symmetry ... No. 12
DOS(E_F) ... 2.341 states/eV/atom
Formation energy (no corrections) ... -1.198 eV/atom
Volume ... 31.4 Å³/atom
Calculated density ... 5.46 g/cm³

Unit cell a=8.3843 b=8.3858 c=9.1413 alpha=117.34 beta=89.85 gamma=120.16
Last column: nearest neighbours and their distance in Å.
Fractional positions:
K 0.0000 0.0000 0.0000  6 Se 3.33-3.37
K 0.0000 0.5000 0.0000  6 Se 3.33-3.36
K 0.5000 0.5000 0.0000  6 Se 3.33-3.37
Pu 0.5000 0.0000 0.5000  6 Se 2.87-2.90
Pu 0.5000 0.5000 0.5000  6 Se 2.89-2.91
Pu 0.0000 0.5000 0.5000  6 Se 2.87-2.90
Ga 0.0000 0.0000 0.5000  6 Se 2.71-2.79
Se 0.2642 0.5303 0.2946  3 Pu 2.89-2.91
Se 0.7358 0.4697 0.7054  3 Pu 2.89-2.91
Se 0.7801 0.5600 0.3105  1 Ga 2.71, 2 Pu 2.89-2.90
Se 0.2199 0.4400 0.6895  1 Ga 2.71, 2 Pu 2.89-2.90
Se 0.7735 0.0339 0.3074  1 Ga 2.79, 2 Pu 2.87
Se 0.2265 0.9661 0.6926  1 Ga 2.79, 2 Pu 2.87
Se 0.2505 0.0304 0.3104  1 Ga 2.71, 2 Pu 2.89-2.90
Se 0.7495 0.9696 0.6896  1 Ga 2.71, 2 Pu 2.89-2.90

***

4.
DFT (PBE) results for K2Pu2GaSe6 after structural relaxation.

Symmetry ... No. 12
DOS(E_F) ... 1.772 states/eV/atom
Formation energy (no corrections) ... -1.132 eV/atom
Volume ... 31.3 Å³/atom
Calculated density ... 5.34 g/cm³

Unit cell a=7.1411 b=7.1411 c=8.1623 alpha=98.33 beta=98.33 gamma=120.06
Last column: nearest neighbours and their distance in Å.
Fractional positions:
K 0.8324 0.1676 0.0000  6 Se 3.34-3.41
K 0.1676 0.8324 0.0000  6 Se 3.34-3.41
Pu 0.3325 0.6675 0.5000  6 Se 2.85-2.88
Pu 0.6675 0.3325 0.5000  6 Se 2.85-2.88
Ga 0.0000 0.0000 0.5000  6 Se 2.62-2.77
Se 0.7555 0.7555 0.6858  1 Ga 2.62, 2 Pu 2.88
Se 0.0655 0.3897 0.6950  1 Ga 2.77, 2 Pu 2.85
Se 0.2445 0.2445 0.3142  1 Ga 2.62, 2 Pu 2.88
Se 0.3897 0.0655 0.6950  1 Ga 2.77, 2 Pu 2.85
Se 0.9345 0.6103 0.3050  1 Ga 2.77, 2 Pu 2.85
Se 0.6103 0.9345 0.3050  1 Ga 2.77, 2 Pu 2.85

***

5.
DFT (PBE) results for K3Pu3GaTe8 after structural relaxation.

Symmetry ... No. 166
DOS(E_F) ... 2.379 states/eV/atom
Formation energy (no corrections) ... -0.874 eV/atom
Volume ... 38.4 Å³/atom
Calculated density ... 5.59 g/cm³

Unit cell a=8.9439 b=8.9475 c=9.7839 alpha=117.22 beta=90.00 gamma=119.99
Last column: nearest neighbours and their distance in Å.
Fractional positions:
K 0.0000 0.0000 0.0000  6 Te 3.54-3.59
K 0.0000 0.5000 0.0000  6 Te 3.54-3.59
K 0.5000 0.5000 0.0000  6 Te 3.54-3.59
Pu 0.5000 0.0000 0.5000  6 Te 3.09-3.11
Pu 0.5000 0.5000 0.5000  6 Te 3.09-3.11
Pu 0.0000 0.5000 0.5000  6 Te 3.09-3.11
Ga 0.0000 0.0000 0.5000  6 Te 2.97-2.98
Te 0.2638 0.5275 0.2912  3 Pu 3.11
Te 0.7362 0.4725 0.7088  3 Pu 3.11
Te 0.7738 0.5475 0.3049  1 Ga 2.98, 2 Pu 3.09
Te 0.2262 0.4525 0.6951  1 Ga 2.98, 2 Pu 3.09
Te 0.7741 0.0310 0.3051  1 Ga 2.97, 2 Pu 3.09
Te 0.2259 0.9690 0.6949  1 Ga 2.97, 2 Pu 3.09
Te 0.2568 0.0310 0.3051  1 Ga 2.97, 2 Pu 3.09
Te 0.7432 0.9690 0.6949  1 Ga 2.97, 2 Pu 3.09

***

6.
DFT (PBE) results for KPuGaTe3 after structural relaxation.

Symmetry ... No. 11
DOS(E_F) ... 2.400 states/eV/atom
Formation energy (no corrections) ... -0.786 eV/atom
Volume ... 37.2 Å³/atom
Calculated density ... 5.48 g/cm³

Unit cell a=4.7235 b=9.3572 c=10.5913 alpha=107.71 beta=90.00 gamma=90.00
Last column: nearest neighbours and their distance in Å.
Fractional positions:
K 0.2500 0.2277 0.2416  5 Te 3.54-3.85
K 0.7500 0.7723 0.7584  5 Te 3.54-3.85
Pu 0.2500 0.6812 0.1346  6 Te 3.11-3.28
Pu 0.7500 0.3188 0.8654  6 Te 3.11-3.28
Ga 0.2500 0.0982 0.6116  4 Te 2.69-2.82
Ga 0.7500 0.9018 0.3884  4 Te 2.69-2.82
Te 0.7500 0.9173 0.1393  1 Ga 2.69
Te 0.2500 0.0827 0.8607  1 Ga 2.69
Te 0.2500 0.7936 0.4595  3 Ga 2.76-2.82
Te 0.7500 0.2064 0.5405  3 Ga 2.76-2.82
Te 0.7500 0.4741 0.1702  3 Pu 3.11-3.15
Te 0.2500 0.5259 0.8298  3 Pu 3.11-3.15